Density functional theory data (PBEsol) for a relaxed Li2Fe3O3F5 crystal.

Values from the calculation:
* energy: -6.325 eV/atom
* ΔE_f (raw): -2001 meV per atom

a = 5.8363 Å, b = 5.8363 Å, c = 5.9235 Å
α = 120.21°, β = 120.21°, γ = 59.30°
With the nearest neighbours (Å) after each atom.
Atoms (fractional coordinates):
Li: 0.2390 0.7610 0.0000  4 F 1.91-2.06
Li: 0.7610 0.2390 0.0000  4 F 1.91-2.06
Fe: 0.3764 0.3764 0.3664  3 O 1.79-1.82, 1 F 1.99
Fe: 0.7375 0.7375 0.4919  3 O 1.81-2.01, 1 F 1.95
Fe: 0.7683 0.7683 0.0482  4 F 1.90-2.11, 2 O 1.91
O: 0.5189 0.5189 0.2793  2 Fe 1.79-1.81
O: 0.5227 0.9928 0.2635  3 Fe 1.82-2.01
O: 0.9928 0.5227 0.2635  3 Fe 1.82-2.01
F: 0.5135 0.5135 0.7782  2 Fe 1.99-2.11, 2 Li 2.06
F: 0.5342 0.9835 0.7777  1 Li 2.00, 2 Fe 2.02-2.04
F: 0.9728 0.9728 0.7540  2 Li 1.91, 1 Fe 1.95
F: 0.9835 0.5342 0.7777  1 Li 2.00, 2 Fe 2.02-2.04
F: 0.9949 0.9949 0.2233  1 Fe 1.90, 2 Li 1.93